Computed, not measured: a geometry-optimized LaAgAu2 structure at the PBE level of DFT.

a = 5.1419 Å, b = 6.7104 Å, c = 5.2337 Å
α = 90.00°, β = 90.00°, γ = 90.00°
Space group Pmmn (No. 59, origin choice 2)
One atom of each set of equivalent atoms:
La1 0.2500 0.2500 0.1832
Ag1 0.2500 0.7500 0.2166
Au1 0.2500 0.5043 0.6868

Results
E (Ry per atom): -0.307
DFT formation energy (kcal/mol of atoms): -13.9
Excess energy over the best structure of this formula in the dataset (meV/atom): 3